First-principles (GGA-PBE) data for crystalline NaReNO2 at its relaxed geometry, as listed in the Alexandria database.

a = 3.8963 Å, b = 3.8963 Å, c = 3.9456 Å
α = 90.00°, β = 90.00°, γ = 90.00°
Element x y z (fractional)
Na  0.0000  0.0000  0.0000
Re  0.5000  0.5000  0.5000
N  0.0000  0.0000  0.5000
O  0.0000  0.5000  0.0000
O  0.5000  0.0000  0.0000


First-principles (GGA-PBE) data for crystalline NaRhNO2 at its relaxed geometry, as listed in the Alexandria database.

a = 4.0642 Å, b = 4.0642 Å, c = 4.2139 Å
α = 90.00°, β = 90.00°, γ = 90.00°
Element x y z (fractional)
Na  0.0000  0.0000  0.0000
Rh  0.5000  0.5000  0.5000
N  0.0000  0.0000  0.5000
O  0.0000  0.5000  0.0000
O  0.5000  0.0000  0.0000


First-principles (GGA-PBE) data for crystalline NaRhNO2 at its relaxed geometry, as listed in the Alexandria database.

a = 4.0452 Å, b = 4.0452 Å, c = 3.7126 Å
α = 90.00°, β = 90.00°, γ = 90.00°
Element x y z (fractional)
Na  0.0000  0.0000  0.0000
Rh  0.5000  0.5000  0.5000
N  0.5000  0.5000  0.0000
O  0.0000  0.5000  0.5000
O  0.5000  0.0000  0.5000


First-principles (GGA-PBE) data for crystalline NaRuN2O at its relaxed geometry, as listed in the Alexandria database.

a = 3.8032 Å, b = 3.8032 Å, c = 4.0904 Å
α = 90.00°, β = 90.00°, γ = 90.00°
Element x y z (fractional)
Na  0.0000  0.0000  0.0000
Ru  0.5000  0.5000  0.5000
N  0.0000  0.5000  0.5000
N  0.5000  0.0000  0.5000
O  0.5000  0.5000  0.0000


First-principles (GGA-PBE) data for crystalline NaRuNO2 at its relaxed geometry, as listed in the Alexandria database.

a = 3.9443 Å, b = 3.9443 Å, c = 3.7623 Å
α = 90.00°, β = 90.00°, γ = 90.00°
Element x y z (fractional)
Na  0.0000  0.0000  0.0000
Ru  0.5000  0.5000  0.5000
N  0.5000  0.5000  0.0000
O  0.0000  0.5000  0.5000
O  0.5000  0.0000  0.5000


First-principles (GGA-PBE) data for crystalline NaRuN2O at its relaxed geometry, as listed in the Alexandria database.

a = 3.9204 Å, b = 3.9204 Å, c = 3.8443 Å
α = 90.00°, β = 90.00°, γ = 90.00°
Element x y z (fractional)
Na  0.0000  0.0000  0.0000
Ru  0.5000  0.5000  0.5000
N  0.0000  0.5000  0.0000
N  0.5000  0.0000  0.0000
O  0.0000  0.0000  0.5000


First-principles (GGA-PBE) data for crystalline NaRuNO2 at its relaxed geometry, as listed in the Alexandria database.

a = 3.9253 Å, b = 3.9253 Å, c = 4.0539 Å
α = 90.00°, β = 90.00°, γ = 90.00°
Element x y z (fractional)
Na  0.0000  0.0000  0.0000
Ru  0.5000  0.5000  0.5000
N  0.0000  0.0000  0.5000
O  0.0000  0.5000  0.0000
O  0.5000  0.0000  0.0000


First-principles (GGA-PBE) data for crystalline NaSN2O at its relaxed geometry, as listed in the Alexandria database.

a = 4.7808 Å, b = 4.7808 Å, c = 5.4812 Å
α = 90.00°, β = 90.00°, γ = 90.00°
Element x y z (fractional)
Na  0.0000  0.0000  0.0000
S  0.0000  0.0000  0.5000
N  0.0000  0.5000  0.0000
N  0.5000  0.0000  0.0000
O  0.5000  0.5000  0.5000


First-principles (GGA-PBE) data for crystalline NaSN2O at its relaxed geometry, as listed in the Alexandria database.

a = 4.5260 Å, b = 4.5260 Å, c = 4.1888 Å
α = 90.00°, β = 90.00°, γ = 90.00°
Element x y z (fractional)
Na  0.0000  0.0000  0.0000
S  0.5000  0.5000  0.5000
N  0.0000  0.5000  0.0000
N  0.5000  0.0000  0.0000
O  0.0000  0.0000  0.5000


First-principles (GGA-PBE) data for crystalline NaSNO2 at its relaxed geometry, as listed in the Alexandria database.

a = 3.8065 Å, b = 3.8065 Å, c = 3.2731 Å
α = 90.00°, β = 90.00°, γ = 90.00°
Element x y z (fractional)
Na  0.0000  0.0000  0.0000
S  0.5000  0.5000  0.5000
N  0.5000  0.5000  0.0000
O  0.0000  0.5000  0.5000
O  0.5000  0.0000  0.5000


First-principles (GGA-PBE) data for crystalline NaSNO2 at its relaxed geometry, as listed in the Alexandria database.

a = 4.2144 Å, b = 4.2144 Å, c = 4.7676 Å
α = 90.00°, β = 90.00°, γ = 90.00°
Element x y z (fractional)
Na  0.0000  0.0000  0.0000
S  0.5000  0.5000  0.5000
N  0.0000  0.0000  0.5000
O  0.0000  0.5000  0.0000
O  0.5000  0.0000  0.0000


First-principles (GGA-PBE) data for crystalline NaSN2O at its relaxed geometry, as listed in the Alexandria database.

a = 3.4061 Å, b = 3.4061 Å, c = 4.0933 Å
α = 90.00°, β = 90.00°, γ = 90.00°
Element x y z (fractional)
Na  0.0000  0.0000  0.0000
S  0.5000  0.5000  0.5000
N  0.0000  0.5000  0.5000
N  0.5000  0.0000  0.5000
O  0.5000  0.5000  0.0000


First-principles (GGA-PBE) data for crystalline NaSN2O at its relaxed geometry, as listed in the Alexandria database.

a = 3.9896 Å, b = 3.9896 Å, c = 3.9373 Å
α = 90.00°, β = 90.00°, γ = 90.00°
Element x y z (fractional)
Na  0.0000  0.0000  0.0000
S  0.5000  0.5000  0.0000
N  0.0000  0.5000  0.5000
N  0.5000  0.0000  0.5000
O  0.5000  0.5000  0.5000


First-principles (GGA-PBE) data for crystalline NaScN2O at its relaxed geometry, as listed in the Alexandria database.

a = 4.0553 Å, b = 4.0553 Å, c = 3.9272 Å
α = 90.00°, β = 90.00°, γ = 90.00°
Element x y z (fractional)
Na  0.0000  0.0000  0.0000
Sc  0.5000  0.5000  0.5000
N  0.0000  0.5000  0.0000
N  0.5000  0.0000  0.0000
O  0.0000  0.0000  0.5000


First-principles (GGA-PBE) data for crystalline NaScN2O at its relaxed geometry, as listed in the Alexandria database.

a = 4.3723 Å, b = 4.3723 Å, c = 4.0753 Å
α = 90.00°, β = 90.00°, γ = 90.00°
Element x y z (fractional)
Na  0.0000  0.0000  0.0000
Sc  0.5000  0.5000  0.5000
N  0.0000  0.5000  0.5000
N  0.5000  0.0000  0.5000
O  0.5000  0.5000  0.0000


First-principles (GGA-PBE) data for crystalline NaSeNO2 at its relaxed geometry, as listed in the Alexandria database.

a = 3.9101 Å, b = 3.9101 Å, c = 3.7364 Å
α = 90.00°, β = 90.00°, γ = 90.00°
Element x y z (fractional)
Na  0.0000  0.0000  0.0000
Se  0.5000  0.5000  0.5000
N  0.5000  0.5000  0.0000
O  0.0000  0.5000  0.5000
O  0.5000  0.0000  0.5000


First-principles (GGA-PBE) data for crystalline NaSeN2O at its relaxed geometry, as listed in the Alexandria database.

a = 4.0633 Å, b = 4.0633 Å, c = 4.1154 Å
α = 90.00°, β = 90.00°, γ = 90.00°
Element x y z (fractional)
Na  0.0000  0.0000  0.0000
Se  0.5000  0.5000  0.0000
N  0.0000  0.5000  0.5000
N  0.5000  0.0000  0.5000
O  0.5000  0.5000  0.5000


First-principles (GGA-PBE) data for crystalline NaSeN2O at its relaxed geometry, as listed in the Alexandria database.

a = 3.8006 Å, b = 3.8006 Å, c = 4.0361 Å
α = 90.00°, β = 90.00°, γ = 90.00°
Element x y z (fractional)
Na  0.0000  0.0000  0.0000
Se  0.5000  0.5000  0.5000
N  0.0000  0.5000  0.5000
N  0.5000  0.0000  0.5000
O  0.5000  0.5000  0.0000


First-principles (GGA-PBE) data for crystalline NaSe2NO at its relaxed geometry, as listed in the Alexandria database.

Summary:
The calculation puts the energy above the most stable polymorph in this dataset at 0 meV/atom.

a = 4.4171 Å, b = 4.4171 Å, c = 4.4982 Å
α = 90.00°, β = 90.00°, γ = 90.00°
Element x y z (fractional)
Na  0.0000  0.0000  0.0000
Se  0.0000  0.5000  0.5000
Se  0.5000  0.0000  0.5000
N  0.5000  0.5000  0.0000
O  0.5000  0.5000  0.5000


First-principles (GGA-PBE) data for crystalline NaSeN2O at its relaxed geometry, as listed in the Alexandria database.

a = 4.3274 Å, b = 4.3274 Å, c = 5.7299 Å
α = 90.00°, β = 90.00°, γ = 90.00°
Element x y z (fractional)
Na  0.0000  0.0000  0.0000
Se  0.0000  0.0000  0.5000
N  0.0000  0.5000  0.0000
N  0.5000  0.0000  0.0000
O  0.5000  0.5000  0.5000


| no. | formation energy (no corrections) (eV/atom) |
| --- | --- |
| 1 | 1.6861 |
| 2 | 1.6166 |
| 3 | -0.0925 |
| 4 | 0.1890 |
| 5 | -0.4581 |
| 6 | 2.5492 |
| 7 | 1.7325 |
| 8 | 2.5626 |
| 9 | 2.4101 |
| 10 | 0.1715 |
| 11 | 1.7860 |
| 12 | 0.8515 |
| 13 | 1.7969 |
| 14 | 0.9236 |
| 15 | -0.1347 |
| 16 | 0.1162 |
| 17 | 1.7269 |
| 18 | 0.8854 |
| 19 | 0.8952 |
| 20 | 2.4928 |